(1)
The following is a DFT calculation (PBE-GGA) of a relaxed Pm3PrSm2S6 crystal.

symmetry	C2/m, No. 12
spin magnetization	0.000	μB/f.u.
electronic total energy	-6.468	eV per atom

Cell: 7.000 7.000 6.988 Å, 99.58 99.58 120.16°
Atoms (fractional coordinates):
1 S 0.255 0.255 0.751
2 S 0.422 0.084 0.251
3 S 0.084 0.422 0.251
4 S 0.916 0.578 0.749
5 S 0.578 0.916 0.749
6 S 0.745 0.745 0.249
7 Pm 0.165 0.835 0.500
8 Pm 0.500 0.500 0.500
9 Pm 0.835 0.165 0.500
10 Sm 0.666 0.334 0.000
11 Sm 0.334 0.666 0.000
12 Pr 0.000 0.000 0.000



(2)
The following is a DFT calculation (PBE-GGA) of a relaxed TcAgMo2 crystal.

symmetry	Pm, No. 6
spin magnetization	0.000	μB/f.u.
electronic total energy	-8.327	eV per atom
ΔH_f (0 K)	0.393	eV/atom

Cell: 4.492 2.660 5.435 Å, 78.86 90.00 90.00°
Atoms (fractional coordinates):
1 Mo 0.000 0.035 0.998
2 Mo 0.500 0.273 0.263
3 Ag 0.500 0.701 0.754
4 Tc 0.000 0.491 0.485



(3)
The following is a DFT calculation (PBE-GGA) of a relaxed Rb3BaPd crystal.

symmetry	Pm-3m, No. 221
spin magnetization	1.010	μB/f.u.
electronic total energy	-0.996	eV per atom
ΔH_f (0 K)	1.008	eV/atom

Cell: 8.121 8.121 8.121 Å, 90.00 90.00 90.00°
Atoms (fractional coordinates):
1 Rb 0.000 0.500 0.000
2 Rb 0.500 0.000 0.000
3 Rb 0.000 0.000 0.500
4 Ba 0.000 0.000 0.000
5 Pd 0.500 0.500 0.500